Record 1
Below is a geometry-optimized PrSmTe2 structure, with properties calculated at the GGA-PBE level.

```
PrSmTe2
1.0
4.202 0.000 1.168
1.939 3.728 1.168
-0.015 -0.009 8.197
Pr Sm Te
1 1 2
Cartesian
3.037 1.844 5.359
4.105 2.492 9.660
0.483 0.293 6.403
1.548 0.940 2.575
```

Formation energy without anion corrections, eV/atom: -1.42
Uncorrected energy, eV/atom: -5.370
Energy above the most stable polymorph in this dataset, eV/atom: 0.000

Record 2
Below is a geometry-optimized Pr2Sm2Te7 structure, with properties calculated at the GGA-PBE level.

```
Pr2Sm2Te7
1.0
7.895 -0.004 0.035
0.003 6.865 0.003
-0.457 -0.003 7.882
Pr Sm Te
2 2 7
Cartesian
5.499 3.427 5.853
1.942 3.431 2.067
5.680 -0.003 2.116
1.761 6.862 5.804
-0.227 1.761 3.942
3.950 5.100 0.020
-0.226 5.101 3.943
3.948 1.761 0.018
0.000 0.000 0.000
3.722 5.172 3.961
3.720 1.686 3.959
```

Formation energy without anion corrections, eV/atom: -1.07
Uncorrected energy, eV/atom: -4.795

Record 3
Below is a geometry-optimized Pr2Sm3Te8 structure, with properties calculated at the GGA-PBE level.

```
Pr2Sm3Te8
1.0
-1.914 1.451 7.303
-3.938 -8.008 0.559
9.016 0.530 -0.405
Pr Sm Te
2 3 8
Cartesian
2.916 -1.269 2.369
0.247 -4.759 5.087
-0.957 0.725 3.651
-1.018 -2.070 0.144
-2.920 -5.939 0.414
-2.017 -3.518 6.907
5.181 -2.509 0.549
-0.072 0.500 6.659
3.235 -6.527 0.797
3.231 -3.819 4.335
5.229 0.244 4.052
-2.066 -6.272 3.404
-0.068 -2.208 3.121
```

Formation energy without anion corrections, eV/atom: -1.29
Uncorrected energy, eV/atom: -5.047

Record 4
Below is a geometry-optimized Pr4SmTe7 structure, with properties calculated at the GGA-PBE level.

```
Pr4SmTe7
1.0
4.387 0.000 0.000
-2.193 7.158 -1.887
0.000 0.061 13.540
Pr Sm Te
4 1 7
Cartesian
2.193 2.915 10.211
0.000 4.308 1.442
2.193 7.218 11.632
0.000 1.664 5.325
2.193 5.543 6.348
2.193 3.498 3.842
0.000 3.789 7.824
0.000 4.896 11.607
2.193 2.318 0.047
0.000 0.575 10.425
2.193 6.633 1.185
0.000 7.149 4.910
```

Formation energy without anion corrections, eV/atom: -1.44
Uncorrected energy, eV/atom: -5.260

Record 5
Below is a geometry-optimized PrSm3Te6 structure, with properties calculated at the GGA-PBE level.

```
PrSm3Te6
1.0
4.460 0.000 0.000
0.000 11.973 -4.167
0.000 -0.008 13.059
Pr Sm Te
2 6 12
Cartesian
3.345 0.540 8.888
1.115 11.426 0.004
3.345 5.174 9.078
1.115 6.792 -0.186
3.345 8.163 3.713
1.115 3.803 5.179
3.345 1.862 0.414
1.115 10.104 8.479
3.345 5.803 6.048
1.115 6.163 2.844
3.345 10.948 -2.511
1.115 1.018 11.403
3.345 4.708 -0.841
1.115 7.258 9.733
3.345 8.933 0.531
1.115 3.032 8.361
3.345 1.362 5.630
1.115 10.604 3.262
3.345 9.657 6.423
1.115 2.309 2.469
```

Formation energy without anion corrections, eV/atom: -1.43
Uncorrected energy, eV/atom: -5.206
Energy above the most stable polymorph in this dataset, eV/atom: 0.000

Record 6
Below is a geometry-optimized Pr4Sm3ThTe8 structure, with properties calculated at the GGA-PBE level.

```
Pr4Sm3ThTe8
1.0
-4.393 7.601 -1.936
-3.804 -0.127 8.132
8.942 -0.346 -0.774
Pr Sm Th Te
4 3 1 8
Cartesian
-2.197 3.801 -0.968
2.274 3.628 -1.355
0.000 0.000 0.000
4.471 -0.173 -0.387
-4.099 3.737 3.098
0.372 3.564 2.711
2.569 -0.236 3.679
-1.902 -0.064 4.066
4.975 1.453 4.798
0.527 1.625 5.183
2.427 1.711 1.213
2.790 5.234 3.835
-2.045 1.894 1.587
-1.682 5.417 4.210
0.218 5.504 0.239
-4.231 5.675 0.624
```

Formation energy without anion corrections, eV/atom: -1.36
Uncorrected energy, eV/atom: -5.473

Record 7
Below is a geometry-optimized Pr2SmThTe5 structure, with properties calculated at the GGA-PBE level.

```
Pr2SmThTe5
1.0
-3.023 -1.160 -4.578
3.411 -4.296 -1.163
-6.949 -7.259 6.429
Pr Sm Th Te
2 1 1 5
Cartesian
-2.215 -5.244 -0.642
-4.346 -7.471 1.330
-3.475 -3.630 3.214
0.000 0.000 0.000
-1.769 -5.777 2.633
-4.986 -4.210 0.926
-5.247 -5.481 4.855
-1.702 -1.778 1.574
0.194 -2.728 -2.871
```

Formation energy without anion corrections, eV/atom: -0.66
Uncorrected energy, eV/atom: -4.817

Record 8
Below is a geometry-optimized PrSm2Th3Te6 structure, with properties calculated at the GGA-PBE level.

```
PrSm2Th3Te6
1.0
4.396 0.000 0.000
0.000 9.097 -0.078
-2.198 -3.041 9.486
Pr Sm Th Te
1 2 3 6
Cartesian
2.198 0.000 0.000
2.198 4.065 6.265
0.000 1.990 3.142
2.198 4.548 -0.039
2.198 -0.478 6.367
0.000 6.533 3.041
0.000 6.306 6.226
2.198 4.226 3.140
2.198 -0.250 3.181
0.000 2.271 0.040
2.198 3.785 9.368
0.000 1.830 6.268
```

Formation energy without anion corrections, eV/atom: -1.19
Uncorrected energy, eV/atom: -5.802

Record 9
Below is a geometry-optimized PrSm2Tl3Te6 structure, with properties calculated at the GGA-PBE level.

```
PrSm2Tl3Te6
1.0
-5.519 -3.892 4.065
3.798 -3.576 -5.908
6.279 -0.121 5.861
Pr Sm Tl Te
1 2 3 6
Cartesian
0.000 0.000 0.000
0.694 -3.681 -2.585
-2.415 -3.787 0.742
5.395 -3.689 -1.327
-0.838 -3.900 5.345
2.279 -3.794 2.009
2.022 -5.807 4.861
0.108 -5.516 -0.074
2.536 -1.782 -0.843
5.169 -5.700 1.492
4.450 -2.073 4.091
-0.611 -1.888 2.526
```

Formation energy without anion corrections, eV/atom: -1.07
Uncorrected energy, eV/atom: -4.420

Record 10
Below is a geometry-optimized PrSm3Tl4Te8 structure, with properties calculated at the GGA-PBE level.

```
PrSm3Tl4Te8
1.0
9.089 0.000 0.000
0.000 9.709 0.431
-4.544 -4.541 6.430
Pr Sm Tl Te
1 3 4 8
Cartesian
0.000 4.855 0.215
4.544 4.855 0.215
2.272 2.584 3.430
-2.272 2.584 3.430
4.544 0.000 0.000
2.272 -2.270 3.215
0.000 0.000 0.000
-2.272 -2.270 3.215
-2.244 2.547 6.596
0.000 4.789 3.421
0.000 0.375 3.476
2.244 2.547 6.596
2.300 2.622 0.264
4.544 4.793 3.384
4.544 0.379 3.440
6.789 2.622 0.264
```

Formation energy without anion corrections, eV/atom: -1.07
Uncorrected energy, eV/atom: -4.418

Record 11
Below is a geometry-optimized PrSm3Tm3Te8 structure, with properties calculated at the GGA-PBE level.

```
PrSm3Tm3Te8
1.0
8.731 0.000 0.000
-4.366 7.562 -0.026
0.000 -5.016 7.142
Pr Sm Tm Te
1 3 3 8
Cartesian
0.000 -2.508 3.571
0.000 0.000 0.000
-2.183 3.781 -0.013
2.183 3.781 -0.013
4.366 -2.508 3.571
2.183 1.273 3.558
-2.183 1.273 3.558
0.000 2.527 1.855
4.366 0.018 5.261
4.366 2.369 1.745
0.000 0.177 5.371
6.412 -1.175 1.758
-2.046 3.721 5.358
2.320 -1.175 1.758
2.046 3.721 5.358
```

Formation energy without anion corrections, eV/atom: -1.37
Uncorrected energy, eV/atom: -5.202

Record 12
Below is a geometry-optimized Pr3Sm3TmTe8 structure, with properties calculated at the GGA-PBE level.

```
Pr3Sm3TmTe8
1.0
8.910 0.000 0.000
-4.455 7.717 -0.026
0.000 -5.119 7.343
Pr Sm Tm Te
3 3 1 8
Cartesian
0.000 0.000 0.000
-2.228 3.858 -0.013
2.228 3.858 -0.013
4.455 -2.560 3.671
2.228 1.299 3.658
-2.228 1.299 3.658
0.000 -2.560 3.671
0.000 2.579 1.870
4.455 0.019 5.446
4.455 2.585 1.875
0.000 0.012 5.442
6.688 -1.283 1.888
-2.233 3.880 5.429
2.222 -1.283 1.888
2.233 3.880 5.429
```

Formation energy without anion corrections, eV/atom: -1.43
Uncorrected energy, eV/atom: -5.304

Record 13
Below is a geometry-optimized PrSm2TmTe5 structure, with properties calculated at the GGA-PBE level.

```
PrSm2TmTe5
1.0
5.480 0.000 0.000
0.000 5.480 0.000
0.000 0.000 11.829
Pr Sm Tm Te
1 2 1 5
Cartesian
0.000 0.000 0.000
2.740 2.740 4.100
2.740 2.740 7.728
0.000 0.000 5.914
0.000 2.740 5.914
2.740 0.000 5.914
0.000 0.000 8.844
0.000 0.000 2.984
2.740 2.740 0.000
```

Formation energy without anion corrections, eV/atom: -0.81
Uncorrected energy, eV/atom: -4.631

Record 14
Below is a geometry-optimized PrSm2Tm3Te6 structure, with properties calculated at the GGA-PBE level.

```
PrSm2Tm3Te6
1.0
-3.342 -2.423 -1.275
3.203 -6.884 4.685
-4.127 6.028 6.684
Pr Sm Tm Te
1 2 3 6
Cartesian
-1.671 -1.211 -0.637
-3.409 -2.593 6.543
-0.857 -0.686 3.551
-0.070 -4.654 1.705
-5.026 0.868 4.204
0.760 -4.147 5.890
-0.846 -3.195 8.289
-1.686 -3.692 4.117
-3.420 -0.084 1.805
-6.602 1.778 6.608
2.336 -5.057 3.486
-2.579 0.413 5.977
```

Formation energy without anion corrections, eV/atom: -1.29
Uncorrected energy, eV/atom: -5.167

Record 15
Below is a geometry-optimized Pr3Sm4TmTe8 structure, with properties calculated at the GGA-PBE level.

```
Pr3Sm4TmTe8
1.0
8.950 0.000 0.000
0.000 8.898 -0.027
-4.475 -4.460 6.324
Pr Sm Tm Te
3 4 1 8
Cartesian
4.475 4.449 -0.013
2.238 2.219 3.148
-2.238 2.219 3.148
4.475 0.000 0.000
2.238 -2.230 3.162
0.000 0.000 0.000
-2.238 -2.230 3.162
0.000 4.449 -0.013
2.174 6.652 0.009
0.000 4.486 3.082
0.000 -0.048 3.125
6.776 6.652 0.009
-2.301 -2.214 6.288
4.475 4.486 3.172
4.475 -0.047 3.215
2.301 -2.214 6.288
```

Formation energy without anion corrections, eV/atom: -1.37
Uncorrected energy, eV/atom: -5.296

Record 16
Below is a geometry-optimized PrSm3Tm2Te6 structure, with properties calculated at the GGA-PBE level.

```
PrSm3Tm2Te6
1.0
-1.805 -0.569 3.936
4.481 -7.640 0.952
6.971 6.739 1.747
Pr Sm Tm Te
1 3 2 6
Cartesian
-0.903 -0.284 1.968
1.338 -4.104 2.444
3.993 2.866 4.668
5.654 -4.336 1.967
6.170 -1.060 5.100
3.477 -0.410 1.535
8.025 -2.678 3.293
3.763 -2.503 3.787
1.622 1.208 3.342
1.230 -1.891 0.291
8.417 0.421 6.344
5.884 1.034 2.848
```

Formation energy without anion corrections, eV/atom: -1.32
Uncorrected energy, eV/atom: -5.218

Record 17
Below is a geometry-optimized Pr2Sm3TmTe6 structure, with properties calculated at the GGA-PBE level.

```
Pr2Sm3TmTe6
1.0
4.416 0.000 0.000
0.000 8.944 0.386
-2.208 -2.511 9.374
Pr Sm Tm Te
2 3 1 6
Cartesian
2.208 4.284 6.417
0.000 2.150 3.343
2.208 4.472 0.193
2.208 -0.160 6.152
0.000 6.593 3.608
2.208 0.000 0.000
0.000 6.568 6.746
2.208 4.426 3.273
2.208 -0.134 3.014
2.208 -0.353 9.407
0.000 6.786 0.353
0.000 2.007 6.487
```

Formation energy without anion corrections, eV/atom: -1.37
Uncorrected energy, eV/atom: -5.288

Record 18
Below is a geometry-optimized Pr3SmTm2Te6 structure, with properties calculated at the GGA-PBE level.

```
Pr3SmTm2Te6
1.0
4.374 0.000 0.000
0.000 9.021 0.183
-2.187 -2.745 9.370
Pr Sm Tm Te
3 1 2 6
Cartesian
2.187 4.511 0.091
2.187 -0.329 6.377
0.000 6.605 3.176
2.187 0.000 0.000
2.187 4.213 6.402
0.000 2.063 3.150
0.000 6.334 6.392
2.187 4.211 3.326
2.187 -0.058 3.161
0.000 2.208 0.165
2.187 4.068 9.387
0.000 2.065 6.226
```

Formation energy without anion corrections, eV/atom: -1.35
Uncorrected energy, eV/atom: -5.253

Record 19
Below is a geometry-optimized Pr4SmY3Te8 structure, with properties calculated at the GGA-PBE level.

```
Pr4SmY3Te8
1.0
-3.840 -7.875 1.198
4.860 -1.233 7.473
-4.973 7.268 -0.798
Pr Sm Y Te
4 1 3 8
Cartesian
-1.920 -3.938 0.599
-4.406 -0.303 0.200
0.000 0.000 0.000
-2.486 3.634 -0.399
2.430 -0.616 3.736
0.510 -4.554 4.335
-1.976 -0.920 3.937
-0.056 3.018 3.337
-2.289 4.338 5.021
0.173 0.740 5.416
-2.227 1.371 1.874
-4.190 0.439 5.614
0.238 -2.279 2.259
-1.725 -3.211 5.999
-4.126 -2.579 2.457
-1.663 -6.178 2.852
```

Formation energy without anion corrections, eV/atom: -1.38
Uncorrected energy, eV/atom: -5.657

Record 20
Below is a geometry-optimized Pr2Sm3YTe6 structure, with properties calculated at the GGA-PBE level.

```
Pr2Sm3YTe6
1.0
-2.267 1.037 3.671
1.430 -8.252 3.215
8.785 4.466 1.481
Pr Sm Y Te
2 3 1 6
Cartesian
4.879 -1.663 6.164
3.069 -1.086 2.202
-0.418 -3.607 3.443
4.125 2.422 4.545
3.822 -5.171 3.821
-1.133 0.519 1.835
6.486 -4.257 5.208
2.211 -2.691 4.808
1.462 1.508 3.158
6.825 3.465 5.917
1.123 -6.214 2.449
5.736 -0.058 3.558
```

Formation energy without anion corrections, eV/atom: -1.39
Uncorrected energy, eV/atom: -5.476